# 1
## LaZnTe3 (PBE)

Data for crystalline LaZnTe3 at its relaxed geometry.

Computed properties:
Space group: Pm-3m
Energy relative to the lowest polymorph listed for this composition, eV per atom: 0.4563

Structure (POSCAR):
```
LaZnTe3
1.0
6.201 0.000 0.000
0.000 6.201 0.000
0.000 0.000 6.201
La Zn Te
1 1 3
direct
0.000 0.000 0.000
0.500 0.500 0.500
0.000 0.000 0.500
0.000 0.500 0.000
0.500 0.000 0.000
```

=====

# 2
## ZrAsAu (PBE)

Data for crystalline ZrAsAu at its relaxed geometry.

Computed properties:
Space group: I4mm
E_form, meV per atom: -471

Structure (POSCAR):
```
ZrAsAu
1.0
-1.819 1.819 4.480
1.819 -1.819 4.480
1.819 1.819 -4.480
Zr As Au
1 1 1
direct
0.000 0.000 0.000
0.367 0.367 0.000
0.680 0.680 0.000
```

=====

# 3
## CaGaAs2 (PBE)

Data for crystalline CaGaAs2 at its relaxed geometry.

Computed properties:
Space group: R-3m
E_form, meV per atom: 51

Structure (POSCAR):
```
CaGaAs2
1.0
1.843 1.064 8.876
-1.843 1.064 8.876
0.000 -2.128 8.876
Ca Ga As
1 1 2
direct
0.000 0.000 0.000
0.500 0.500 0.500
0.109 0.109 0.109
0.891 0.891 0.891
```